No. 1
# MnSbP2 (PBE, relaxed)
# Uncorrected formation energy ... 238 meV per atom
data_MnSbP2
_symmetry_space_group_name_H-M 'I 4/m m m'
_symmetry_Int_Tables_number 139
_symmetry_space_group_name_Hall '-I 4 2'
_cell_length_a 5.279
_cell_length_b 5.279
_cell_length_c 5.459
_cell_angle_alpha 90.00
_cell_angle_beta 90.00
_cell_angle_gamma 90.00
loop_
_atom_site_label
_atom_site_type_symbol
_atom_site_fract_x
_atom_site_fract_y
_atom_site_fract_z
Mn1 Mn 0.000 0.000 0.000
Sb1 Sb 0.000 0.000 0.500
P1 P 0.000 0.500 0.000

***

No. 2
# AcUSi (PBE, relaxed)
# Uncorrected formation energy ... -223 meV per atom
data_AcUSi
_symmetry_space_group_name_H-M 'C 1 2/m 1'
_symmetry_Int_Tables_number 12
_symmetry_space_group_name_Hall '-C 2y'
_cell_length_a 8.735
_cell_length_b 3.824
_cell_length_c 10.509
_cell_angle_alpha 90.00
_cell_angle_beta 100.62
_cell_angle_gamma 90.00
loop_
_atom_site_label
_atom_site_type_symbol
_atom_site_fract_x
_atom_site_fract_y
_atom_site_fract_z
Ac1 Ac 0.172 0.000 0.168
U1 U 0.159 0.000 0.537
Si1 Si 0.017 0.500 0.344

***

No. 3
# KRbCd2 (PBE, relaxed)
# E above lowest polymorph ... 0.061 eV per atom
# Energy relative to the elements ... 0.00 eV/atom
data_KRbCd2
_symmetry_space_group_name_H-M 'P 4/m m m'
_symmetry_Int_Tables_number 123
_symmetry_space_group_name_Hall '-P 4 2'
_cell_length_a 4.573
_cell_length_b 4.573
_cell_length_c 8.384
_cell_angle_alpha 90.00
_cell_angle_beta 90.00
_cell_angle_gamma 90.00
loop_
_atom_site_label
_atom_site_type_symbol
_atom_site_fract_x
_atom_site_fract_y
_atom_site_fract_z
K1 K 0.000 0.000 0.000
Rb1 Rb 0.000 0.000 0.500
Cd1 Cd 0.500 0.500 0.188

***

No. 4
# Ba3Mg7Ge4 (PBE, relaxed)
# Energy relative to the elements ... -0.36 eV/atom
data_Ba3Mg7Ge4
_symmetry_space_group_name_H-M 'C 1 2/m 1'
_symmetry_Int_Tables_number 12
_symmetry_space_group_name_Hall '-C 2y'
_cell_length_a 17.877
_cell_length_b 4.659
_cell_length_c 10.880
_cell_angle_alpha 90.00
_cell_angle_beta 125.10
_cell_angle_gamma 90.00
loop_
_atom_site_label
_atom_site_type_symbol
_atom_site_fract_x
_atom_site_fract_y
_atom_site_fract_z
Ba1 Ba 0.000 0.000 0.000
Ba2 Ba 0.195 0.500 0.700
Mg1 Mg 0.000 0.000 0.500
Mg2 Mg 0.007 0.500 0.294
Mg3 Mg 0.164 0.000 0.427
Mg4 Mg 0.181 0.500 0.020
Ge1 Ge 0.124 0.000 0.842
Ge2 Ge 0.156 0.500 0.276

***

| no. | E (eV per formula unit) | magnetization (Bohr magnetons per cell) |
| --- | --- | --- |
| 1 | -23.16 | 7.57 |
| 2 | -21.49 | 1.46 |
| 3 | -3.89 | 0.00 |
| 4 | -40.47 | 0.00 |